{"formula": "NiSn", "functional": "SCAN", "state": "PBEsol geometry", "cell": [[4.0612, 0.0000, 0.0000], [0.0000, 5.1661, 0.0000], [0.0000, 0.0000, 24.5674]], "species": ["Sn", "Ni", "Ni", "Sn", "Sn", "Sn", "Ni", "Ni", "Sn", "Sn", "Ni", "Sn", "Sn", "Ni", "Ni", "Ni", "Sn", "Ni", "Ni", "Sn", "Ni", "Sn", "Ni", "Ni", "Ni", "Ni", "Ni", "Sn", "Sn", "Sn", "Sn", "Sn"], "frac_coords": [[0.0000, 0.4604, 0.2108], [0.5000, 0.0066, 0.3572], [0.0000, 0.0000, 0.5000], [0.0000, 0.7293, 0.0900], [0.5000, 0.2569, 0.0387], [0.0000, 0.9604, 0.2892], [0.5000, 0.7732, 0.7450], [0.0000, 0.0000, 0.0000], [0.5000, 0.0098, 0.1606], [0.5000, 0.5098, 0.3394], [0.0000, 0.2736, 0.6056], [0.0000, 0.2293, 0.4100], [0.0000, 0.0396, 0.7108], [0.5000, 0.2268, 0.2550], [0.0000, 0.5000, 0.5000], [0.5000, 0.2732, 0.7550], [0.0000, 0.7707, 0.5900], [0.0000, 0.7264, 0.3944], [0.5000, 0.4934, 0.8572], [0.5000, 0.7569, 0.4613], [0.0000, 0.2264, 0.1056], [0.0000, 0.5396, 0.7892], [0.5000, 0.9934, 0.6428], [0.0000, 0.5000, 0.0000], [0.5000, 0.7268, 0.2450], [0.0000, 0.7736, 0.8944], [0.5000, 0.5066, 0.1428], [0.5000, 0.4902, 0.6606], [0.5000, 0.9902, 0.8394], [0.5000, 0.7431, 0.9613], [0.0000, 0.2707, 0.9100], [0.5000, 0.2431, 0.5387]], "ef_ev_per_atom": -0.19, "sg": "Pbam", "magnetic_moment_mub_per_atom": 0.000, "rho_g_cm3": 9.1}